No. 1
4
Lattice="1.489 0.860 9.458 -1.489 0.860 9.458 0.000 -1.720 9.458" Properties=species:S:1:pos:R:3 comment="IrPt2Pb PBE relaxed" formation_enthalpy_0k_ev_per_atom=0.370 space_group="R-3m, No. 166" vol_a3_per_atom=18.17 pbc="T T T"
Ir 0.000 0.000 0.000
Pt 0.000 0.000 7.360
Pt 0.000 0.000 21.013
Pb 0.000 0.000 14.186

---

No. 2
3
Lattice="4.486 0.000 0.000 -2.243 3.885 0.000 0.000 0.000 3.174" Properties=species:S:1:pos:R:3 comment="IrPtPb PBE relaxed" formation_enthalpy_0k_ev_per_atom=0.419 space_group="P3m1, No. 156" vol_a3_per_atom=18.44 pbc="T T T"
Ir 0.000 0.000 0.000
Pt 2.243 1.295 2.015
Pb 0.000 2.590 0.973

---

Question: What is the formula in the first record?
Answer: IrPt2Pb